Computed, not measured: a relaxed structure of TlHPdPt at the GGA-PBE level of DFT.

Summary:
N(E_F) in states/eV/f.u.: 1.461
Symmetry: No. 44
E_tot in Ry per atom: -0.311
V in Å³ per atom: 14.4

a b c (Å): 3.3818 3.4382 5.5108
angles (deg): 108.18 107.82 90.00
With the nearest neighbours (Å) after each atom.
Atoms (fractional coordinates):
H  0.8270  0.8447  0.6895  2 Pt 1.84-1.85, 2 Pd 2.01
Pd  0.7229  0.2390  0.4781  2 H 2.01
Pt  0.4017  0.9193  0.8385  2 H 1.84-1.85
Tl  0.0674  0.5842  0.1684  4 Pd 2.86, 4 Pt 2.91-2.92, 4 H 2.93-3.09

***

Computed, not measured: a relaxed structure of TlH2PdPt at the GGA-PBE level of DFT.

Summary:
N(E_F) in states/eV/f.u.: 2.232
Symmetry: No. 99
E_tot in Ry per atom: -0.302
V in Å³ per atom: 13.8

a b c (Å): 3.4143 3.4143 5.9294
angles (deg): 90.00 90.00 90.00
With the nearest neighbours (Å) after each atom.
Atoms (fractional coordinates):
Pd  0.5000  0.5000  0.6623  4 H 2.63, 4 Tl 2.85, 4 Pt 2.90
Pt  0.0000  0.0000  0.9318  4 H 1.75
H  0.5000  0.0000  0.0003  2 Pt 1.75
H  0.0000  0.5000  0.0003  2 Pt 1.75
Tl  0.0000  0.0000  0.4053  2 Pt 2.81-3.12, 4 Pd 2.85, 4 H 2.95

***

Computed, not measured: a relaxed structure of Tl2H6PdPt at the GGA-PBE level of DFT.

Summary:
N(E_F) in states/eV/f.u.: 2.150
Symmetry: No. 8
E_tot in Ry per atom: -0.259
V in Å³ per atom: 12.4

a b c (Å): 5.0803 5.0803 6.0502
angles (deg): 115.35 115.35 90.06
With the nearest neighbours (Å) after each atom.
Atoms (fractional coordinates):
Pt  0.0084  0.0089  0.0175  5 H 1.62-1.75
H  0.7725  0.7731  0.0302  1 Pt 1.74, 1 Pd 1.85
H  0.1772  0.1777  0.3536  1 Pt 1.62
H  0.6847  0.6852  0.3621  1 Pd 1.65
H  0.2581  0.2585  0.0306  1 Pt 1.75, 1 Pd 1.85
H  0.7715  0.2572  0.0286  1 Pt 1.74, 1 Pd 1.85
H  0.2567  0.7720  0.0286  1 Pt 1.74, 1 Pd 1.85
Tl  0.2797  0.7814  0.5638  8 H 2.68-2.88
Tl  0.7809  0.2802  0.5638  8 H 2.68-2.88
Pd  0.5092  0.5097  0.0191  2 H 1.65-1.85

***

Computed, not measured: a relaxed structure of TlH6PdPt2 at the GGA-PBE level of DFT.

Summary:
N(E_F) in states/eV/f.u.: 1.680
Symmetry: No. 15
E_tot in Ry per atom: -0.289
V in Å³ per atom: 11.0

a b c (Å): 6.4177 6.4177 5.6380
angles (deg): 100.16 100.16 76.04
With the nearest neighbours (Å) after each atom.
Atoms (fractional coordinates):
H  0.3636  0.4984  0.4138  1 Pt 1.74, 1 H 1.85, 2 Pd 1.87-1.89
H  0.7984  0.7172  0.9400  2 Pt 1.71-1.79
H  0.8937  0.3302  0.2178  1 Pt 1.70, 1 Pd 1.83
H  0.7172  0.7984  0.4400  2 Pt 1.71-1.79
H  0.1063  0.6698  0.7822  1 Pt 1.70, 1 Pd 1.83
H  0.2828  0.2016  0.5600  2 Pt 1.71-1.79
H  0.6698  0.1063  0.2822  1 Pt 1.70, 1 Pd 1.83
H  0.2016  0.2828  0.0600  2 Pt 1.71-1.79
H  0.4984  0.3636  0.9138  1 Pt 1.74, 1 H 1.85, 2 Pd 1.87-1.89
H  0.3302  0.8937  0.7178  1 Pt 1.70, 1 Pd 1.83
H  0.6364  0.5016  0.5862  1 Pt 1.74, 1 H 1.85, 2 Pd 1.87-1.89
H  0.5016  0.6364  0.0862  1 Pt 1.74, 1 H 1.85, 2 Pd 1.87-1.89
Pt  0.1393  0.3808  0.3464  4 H 1.70-1.79
Pt  0.6192  0.8607  0.1536  4 H 1.70-1.79
Pt  0.8607  0.6192  0.6536  4 H 1.70-1.79
Pt  0.3808  0.1393  0.8464  4 H 1.70-1.79
Pd  0.3945  0.6055  0.7500  6 H 1.83-1.89
Pd  0.6055  0.3945  0.2500  6 H 1.83-1.89
Tl  0.1316  0.8684  0.2500  8 H 2.70-3.01
Tl  0.8684  0.1316  0.7500  8 H 2.70-3.01

***

Computed, not measured: a relaxed structure of TlHPdPt2 at the GGA-PBE level of DFT.

Summary:
N(E_F) in states/eV/f.u.: 1.884
Polymorph energy (0 for the lowest one) in kJ per mole of atoms: 16.08
Symmetry: No. 123
E_tot in Ry per atom: -0.334
V in Å³ per atom: 14.6

a b c (Å): 3.9554 3.9554 4.6534
angles (deg): 90.00 90.00 90.00
With the nearest neighbours (Å) after each atom.
Atoms (fractional coordinates):
Tl  0.0000  0.0000  0.5000  2 H 2.33
Pt  0.0000  0.5000  0.0000  2 H 1.98
Pt  0.5000  0.0000  0.0000  2 H 1.98
Pd  0.5000  0.5000  0.5000  4 Tl 2.80, 8 Pt 3.05
H  0.0000  0.0000  0.0000  4 Pt 1.98

***

Computed, not measured: a relaxed structure of TmHPdPt2 at the GGA-PBE level of DFT.

Summary:
N(E_F) in states/eV/f.u.: 0.642
Symmetry: No. 123
E_tot in Ry per atom: -0.428
V in Å³ per atom: 14.2

a b c (Å): 4.1887 4.1175 4.1175
angles (deg): 90.00 90.00 90.00
With the nearest neighbours (Å) after each atom.
Atoms (fractional coordinates):
Pd  0.5000  0.0000  0.0000  2 H 2.09
Tm  0.5000  0.5000  0.5000  4 Pd 2.91, 8 Pt 2.94
H  0.0000  0.0000  0.0000  4 Pt 2.06, 2 Pd 2.09
Pt  0.0000  0.5000  0.0000  2 H 2.06
Pt  0.0000  0.0000  0.5000  2 H 2.06

***

Computed, not measured: a relaxed structure of UH8Pd4Pt at the GGA-PBE level of DFT.

Summary:
N(E_F) in states/eV/f.u.: 8.102
Symmetry: No. 160
E_tot in Ry per atom: -0.342
V in Å³ per atom: 9.9

a b c (Å): 5.7648 5.7648 5.8485
angles (deg): 60.47 60.47 60.00
With the nearest neighbours (Å) after each atom.
Atoms (fractional coordinates):
Pd  0.9964  0.9964  0.5011  6 H 1.87-2.02
Pd  0.6269  0.6269  0.1193  4 H 1.89-1.91
Pd  0.9964  0.5060  0.5011  6 H 1.87-2.02
Pd  0.5060  0.9964  0.5011  6 H 1.87-2.02
H  0.7668  0.2256  0.2408  1 Pt 1.89, 3 Pd 1.89-2.02
H  0.7596  0.7596  0.7212  4 Pd 1.91-1.95
H  0.7668  0.7668  0.2408  1 Pt 1.89, 3 Pd 1.89-2.02
H  0.2114  0.2114  0.7342  1 Pt 1.81, 2 Pd 1.89
H  0.2114  0.8430  0.7342  1 Pt 1.81, 2 Pd 1.89
H  0.2256  0.7668  0.2408  1 Pt 1.89, 3 Pd 1.89-2.02
H  0.8430  0.2114  0.7342  1 Pt 1.81, 2 Pd 1.89
H  0.2205  0.2205  0.3384  3 Pd 1.87
Pt  0.9968  0.9968  0.0097  6 H 1.81-1.89
U  0.3724  0.3724  0.8829  4 H 2.19-2.22

***

Computed, not measured: a relaxed structure of UH6PdPt at the GGA-PBE level of DFT.

Summary:
N(E_F) in states/eV/f.u.: 6.419
Symmetry: No. 5
E_tot in Ry per atom: -0.356
V in Å³ per atom: 9.2

a b c (Å): 4.7357 4.7357 4.2508
angles (deg): 89.74 90.29 59.97
With the nearest neighbours (Å) after each atom.
Atoms (fractional coordinates):
U  0.0000  0.0000  0.0000  12 H 2.54-2.55
Pt  0.3333  0.3334  0.4996  6 H 1.79-1.80
H  0.4983  0.4938  0.2183  1 Pt 1.79, 1 Pd 1.84, 1 H 1.86
H  0.0065  0.4944  0.2176  1 Pt 1.79, 1 Pd 1.85, 1 H 1.85
H  0.4937  0.4982  0.7816  1 Pt 1.79, 1 Pd 1.84, 1 H 1.86
H  0.4978  0.0092  0.2183  1 Pt 1.80, 1 Pd 1.84, 1 H 1.85
H  0.0095  0.4975  0.7817  1 Pt 1.80, 1 Pd 1.84, 1 H 1.85
H  0.4941  0.0069  0.7823  1 Pt 1.79, 1 Pd 1.85, 1 H 1.85
Pd  0.6666  0.6666  0.5004  6 H 1.84-1.85

***

Computed, not measured: a relaxed structure of VHPd2Pt at the GGA-PBE level of DFT.

Summary:
N(E_F) in states/eV/f.u.: 4.060
Polymorph energy (0 for the lowest one) in kJ per mole of atoms: 0.00
Symmetry: No. 123
E_tot in Ry per atom: -0.438
V in Å³ per atom: 12.2

a b c (Å): 3.8862 3.8862 4.0533
angles (deg): 90.00 90.00 90.00
With the nearest neighbours (Å) after each atom.
Atoms (fractional coordinates):
Pt  0.5000  0.5000  0.5000  4 V 2.75, 8 Pd 2.81
Pd  0.0000  0.5000  0.0000  2 H 1.94
Pd  0.5000  0.0000  0.0000  2 H 1.94
V  0.0000  0.0000  0.5000  2 H 2.03
H  0.0000  0.0000  0.0000  4 Pd 1.94, 2 V 2.03

***

Computed, not measured: a relaxed structure of VHPd2Pt at the GGA-PBE level of DFT.

Summary:
N(E_F) in states/eV/f.u.: 5.152
Polymorph energy (0 for the lowest one) in kJ per mole of atoms: 1.77
Symmetry: No. 123
E_tot in Ry per atom: -0.437
V in Å³ per atom: 12.7

a b c (Å): 3.9802 3.9802 3.9958
angles (deg): 90.00 90.00 90.00
With the nearest neighbours (Å) after each atom.
Atoms (fractional coordinates):
Pd  0.5000  0.0000  0.0000  2 H 1.99
Pd  0.0000  0.5000  0.0000  2 H 1.99
H  0.0000  0.0000  0.0000  4 Pd 1.99, 2 Pt 2.00
V  0.5000  0.5000  0.5000  4 Pt 2.81, 8 Pd 2.82
Pt  0.0000  0.0000  0.5000  2 H 2.00

***

Computed, not measured: a relaxed structure of HPd2PtW at the GGA-PBE level of DFT.

Summary:
N(E_F) in states/eV/f.u.: 5.526
Symmetry: No. 123
E_tot in Ry per atom: -0.471
V in Å³ per atom: 12.9

a b c (Å): 3.9571 3.9571 4.1081
angles (deg): 90.00 90.00 90.00
With the nearest neighbours (Å) after each atom.
Atoms (fractional coordinates):
Pt  0.5000  0.5000  0.5000  4 W 2.80, 8 Pd 2.85
Pd  0.5000  0.0000  0.0000  2 H 1.98
Pd  0.0000  0.5000  0.0000  2 H 1.98
H  0.0000  0.0000  0.0000  4 Pd 1.98, 2 W 2.05
W  0.0000  0.0000  0.5000  2 H 2.05

***

Computed, not measured: a relaxed structure of YHPdPt2 at the GGA-PBE level of DFT.

Summary:
N(E_F) in states/eV/f.u.: 1.954
Polymorph energy (0 for the lowest one) in kJ per mole of atoms: 3.85
Symmetry: No. 123
E_tot in Ry per atom: -0.450
V in Å³ per atom: 14.6

a b c (Å): 4.0408 4.0408 4.4833
angles (deg): 90.00 90.00 90.00
With the nearest neighbours (Å) after each atom.
Atoms (fractional coordinates):
Pt  0.5000  0.0000  0.0000  2 H 2.02
Pt  0.0000  0.5000  0.0000  2 H 2.02
Pd  0.5000  0.5000  0.5000  4 Y 2.86, 8 Pt 3.02
Y  0.0000  0.0000  0.5000  2 H 2.24
H  0.0000  0.0000  0.0000  4 Pt 2.02, 2 Y 2.24